Density functional theory data (GGA-PBEsol) for an optimized crystal structure of TaCrIn2.

Lattice parameters (Å, degrees): 3.2663 4.6709 9.3785 90.00 90.00 90.00
Last column: nearest neighbours and their distance in Å.
Space group Imm2 (No. 44)
One atom of each set of equivalent atoms:
Ta 0.0000 0.0000 0.0000  2 Cr 2.48
Cr 0.0000 0.5000 0.3004  2 Ta 2.48
In 0.0000 0.0000 0.5513  2 Cr 2.85, 4 Ta 2.89, 4 In 3.07-3.13
In 0.0000 0.5000 0.7741  4 Cr 2.86, 4 Ta 3.05-3.15, 4 In 3.07-3.13

Output
The value obtained for the total DFT energy (no corrections) is -54.81 eV/cell. The calculation puts the size of the total moment at 1.45 μB per cell.

Density functional theory data (GGA-PBEsol) for an optimized crystal structure of P2OsPb.

Lattice parameters (Å, degrees): 3.0184 5.1877 9.2259 90.00 90.00 90.00
Last column: nearest neighbours and their distance in Å.
Space group Cmmm (No. 65)
One atom of each set of equivalent atoms:
P 0.0000 0.0000 0.2010  2 Os 2.39
Os 0.0000 0.5000 0.0000  4 P 2.39
Pb 0.0000 0.5000 0.5000  6 Pb 3.00-3.02, 4 P 3.14

Output
The value obtained for the total DFT energy (no corrections) is -51.55 eV/cell. The calculation puts the size of the total moment at 0.00 μB per cell.

Density functional theory data (GGA-PBEsol) for an optimized crystal structure of Ca3Br.

Lattice parameters (Å, degrees): 3.8630 3.8630 31.6736 90.00 90.00 120.00
Last column: nearest neighbours and their distance in Å.
Space group R-3m (No. 166, hexagonal axes)
One atom of each set of equivalent atoms:
Ca 0.0000 0.0000 0.0000  12 Ca 3.80-3.86
Ca 0.0000 0.0000 0.2363  3 Br 3.14
Br 0.0000 0.0000 0.5000  6 Ca 3.14

Output
The formation energy from raw total energies comes out at -2.77 eV per formula unit. The calculation puts the size of the total moment at 0.01 μB per cell.